Arrangement A

Density functional theory data (GGA-PBE) for CaCoP2S after structural relaxation.

a = 5.1682 Å, b = 5.1682 Å, c = 5.0599 Å
α = 90.00°, β = 90.00°, γ = 90.00°
Last column: nearest neighbours and their distance in Å.
Space group P4/mmm (No. 123)
One atom of each set of equivalent atoms:
Ca  0.0000  0.0000  0.0000 (multiplicity 1)  2 S 2.53, 4 P 2.58
Co  0.5000  0.5000  0.5000 (multiplicity 1)  8 P 3.62, 4 S 3.65
P  0.0000  0.5000  0.0000 (multiplicity 2)  2 Ca 2.58
S  0.0000  0.0000  0.5000 (multiplicity 1)  2 Ca 2.53

Output
- DOS at the Fermi energy (states/eV per cell) = 7.10
- V (Å³ per atom) = 27.030

Arrangement B

Density functional theory data (GGA-PBE) for CaCoP2S after structural relaxation.

a = 4.2442 Å, b = 4.2442 Å, c = 5.3040 Å
α = 90.00°, β = 90.00°, γ = 90.00°
Last column: nearest neighbours and their distance in Å.
Space group P4/mmm (No. 123)
One atom of each set of equivalent atoms:
Ca  0.0000  0.0000  0.0000 (multiplicity 1)  4 S 3.00
Co  0.5000  0.5000  0.5000 (multiplicity 1)  4 P 2.12
P  0.0000  0.5000  0.5000 (multiplicity 2)  2 Co 2.12
S  0.5000  0.5000  0.0000 (multiplicity 1)  2 Co 2.65

Output
- DOS at the Fermi energy (states/eV per cell) = 4.33
- V (Å³ per atom) = 19.108

Most stable = arrangement B

Arrangement A

Density functional theory data (GGA-PBE) for Ca2CoTeP after structural relaxation.

a = 5.5404 Å, b = 5.5404 Å, c = 4.2420 Å
α = 90.00°, β = 90.00°, γ = 90.00°
Last column: nearest neighbours and their distance in Å.
Space group P4/mmm (No. 123)
One atom of each set of equivalent atoms:
Ca  0.0000  0.5000  0.0000 (multiplicity 2)  2 P 2.77
Co  0.0000  0.0000  0.5000 (multiplicity 1)  2 P 2.12
Te  0.5000  0.5000  0.5000 (multiplicity 1)  8 Ca 3.49
P  0.0000  0.0000  0.0000 (multiplicity 1)  2 Co 2.12

Output
- DOS at the Fermi energy (states/eV per cell) = 2.61
- V (Å³ per atom) = 26.043

Arrangement B

Density functional theory data (GGA-PBE) for Ca2CoTeP after structural relaxation.

a = 5.5248 Å, b = 5.5248 Å, c = 4.0886 Å
α = 90.00°, β = 90.00°, γ = 90.00°
Last column: nearest neighbours and their distance in Å.
Space group P4/mmm (No. 123)
One atom of each set of equivalent atoms:
Ca  0.0000  0.5000  0.0000 (multiplicity 2)  2 Co 2.76
Co  0.0000  0.0000  0.0000 (multiplicity 1)  2 P 2.04
Te  0.5000  0.5000  0.5000 (multiplicity 1)  8 Ca 3.44
P  0.0000  0.0000  0.5000 (multiplicity 1)  2 Co 2.04

Output
- DOS at the Fermi energy (states/eV per cell) = 2.23
- V (Å³ per atom) = 24.960

Most stable = arrangement A

Arrangement A

Density functional theory data (GGA-PBE) for CaCoPd3 after structural relaxation.

a = 4.6639 Å, b = 4.6639 Å, c = 4.6639 Å
α = 90.00°, β = 90.00°, γ = 90.00°
Last column: nearest neighbours and their distance in Å.
Space group Pm-3m (No. 221)
One atom of each set of equivalent atoms:
Ca  0.0000  0.0000  0.0000 (multiplicity 1)  12 Pd 3.30
Co  0.5000  0.5000  0.5000 (multiplicity 1)  6 Pd 2.33
Pd  0.0000  0.5000  0.5000 (multiplicity 3)  2 Co 2.33

Output
- DOS at the Fermi energy (states/eV per cell) = 4.03
- V (Å³ per atom) = 20.290

Arrangement B

Density functional theory data (GGA-PBE) for CaCoPd3 after structural relaxation.

a = 4.8426 Å, b = 4.8426 Å, c = 4.8426 Å
α = 90.00°, β = 90.00°, γ = 90.00°
Last column: nearest neighbours and their distance in Å.
Space group Pm-3m (No. 221)
One atom of each set of equivalent atoms:
Ca  0.0000  0.0000  0.0000 (multiplicity 1)  6 Pd 2.42
Co  0.5000  0.5000  0.5000 (multiplicity 1)  12 Pd 3.42
Pd  0.0000  0.0000  0.5000 (multiplicity 3)  2 Ca 2.42

Output
- DOS at the Fermi energy (states/eV per cell) = 7.88
- V (Å³ per atom) = 22.713

Most stable = arrangement A

Arrangement A

Density functional theory data (GGA-PBE) for Ca2Co2Pd after structural relaxation.

a = 3.3714 Å, b = 3.3714 Å, c = 17.3700 Å
α = 90.00°, β = 90.00°, γ = 90.00°
Last column: nearest neighbours and their distance in Å.
Space group I4/mmm (No. 139)
One atom of each set of equivalent atoms:
Ca  0.0000  0.0000  0.1067 (multiplicity 4)  4 Co 3.01, 4 Pd 3.02
Co  0.0000  0.5000  0.2500 (multiplicity 4)  4 Co 2.38
Pd  0.0000  0.0000  0.5000 (multiplicity 2)  8 Ca 3.02, 4 Pd 3.37

Output
- DOS at the Fermi energy (states/eV per cell) = 5.88
- V (Å³ per atom) = 19.744

Arrangement B

Density functional theory data (GGA-PBE) for Ca2Co2Pd after structural relaxation.

a = 6.6175 Å, b = 6.6175 Å, c = 4.3661 Å
α = 90.00°, β = 90.00°, γ = 90.00°
Last column: nearest neighbours and their distance in Å.
Space group P4/mbm (No. 127)
One atom of each set of equivalent atoms:
Ca  0.1836  0.3164  0.0000 (multiplicity 4)  6 Co 2.88-2.98
Co  0.1164  0.6164  0.5000 (multiplicity 4)  1 Co 2.18
Pd  0.0000  0.0000  0.5000 (multiplicity 2)  4 Co 2.65

Output
- DOS at the Fermi energy (states/eV per cell) = 8.98
- V (Å³ per atom) = 19.119

Most stable = arrangement A

Arrangement A

Density functional theory data (GGA-PBE) for CaPr4Co after structural relaxation.

a = 6.1563 Å, b = 7.1970 Å, c = 9.3696 Å
α = 90.00°, β = 102.72°, γ = 90.00°
Last column: nearest neighbours and their distance in Å.
Space group P2_1/m (No. 11)
One atom of each set of equivalent atoms:
Ca  0.2168  0.2500  0.4456 (multiplicity 2)  7 Pr 3.53-3.84
Pr  0.1146  0.2500  0.0593 (multiplicity 2)  1 Co 2.76
Pr  0.2041  0.7500  0.3066 (multiplicity 2)  1 Co 2.80
Pr  0.3578  0.5078  0.8064 (multiplicity 4)  2 Co 2.78-2.82
Co  0.3418  0.7500  0.0404 (multiplicity 2)  6 Pr 2.76-2.82

Output
- DOS at the Fermi energy (states/eV per cell) = 15.63
- V (Å³ per atom) = 33.746

Arrangement B

Density functional theory data (GGA-PBE) for CaPr4Co after structural relaxation.

a = 18.2029 Å, b = 7.4569 Å, c = 6.2918 Å
α = 90.00°, β = 110.22°, γ = 90.00°
Last column: nearest neighbours and their distance in Å.
Space group C2/m (No. 12)
One atom of each set of equivalent atoms:
Ca  0.1983  0.0000  0.1978 (multiplicity 4)  12 Pr 3.75-3.96
Pr  0.0000  0.2452  0.0000 (multiplicity 4)  2 Co 2.71
Pr  0.1092  0.2507  0.6088 (multiplicity 8)  2 Co 2.89-2.91
Pr  0.1755  0.5000  0.1755 (multiplicity 4)  6 Pr 3.55-3.83, 2 Co 3.56-3.58, 4 Ca 3.75-3.82
Co  0.0005  0.5000  0.3081 (multiplicity 4)  1 Co 2.42, 2 Pr 2.71

Output
- DOS at the Fermi energy (states/eV per cell) = 37.04
- V (Å³ per atom) = 33.392

Most stable = arrangement A

Arrangement A

Density functional theory data (GGA-PBE) for RbCa2Co after structural relaxation.

a = 8.0870 Å, b = 8.0870 Å, c = 11.4102 Å
α = 90.00°, β = 90.00°, γ = 90.00°
Last column: nearest neighbours and their distance in Å.
Space group I4_1/amd (No. 141, origin choice 2)
One atom of each set of equivalent atoms:
Rb  0.0000  0.2500  0.3750 (multiplicity 4)  12 Ca 4.73-4.74, 4 Co 4.95, 4 Rb 4.95
Ca  0.0000  0.0000  0.0000 (multiplicity 8)  2 Co 2.47
Co  0.0000  0.2500  0.8750 (multiplicity 4)  4 Ca 2.47

Output
- DOS at the Fermi energy (states/eV per cell) = 4.63
- V (Å³ per atom) = 46.638

Arrangement B

Density functional theory data (GGA-PBE) for RbCa2Co after structural relaxation.

a = 7.8357 Å, b = 7.8357 Å, c = 7.8357 Å
α = 90.00°, β = 90.00°, γ = 90.00°
Last column: nearest neighbours and their distance in Å.
Space group Fm-3m (No. 225)
One atom of each set of equivalent atoms:
Rb  0.0000  0.0000  0.0000 (multiplicity 4)  8 Ca 3.39
Ca  0.2500  0.2500  0.2500 (multiplicity 8)  4 Co 3.39, 4 Rb 3.39
Co  0.0000  0.0000  0.5000 (multiplicity 4)  8 Ca 3.39

Output
- DOS at the Fermi energy (states/eV per cell) = 10.91
- V (Å³ per atom) = 30.068

Most stable = arrangement A